# 1
# NdDyCu4 | Alexandria | PBE | relaxed
# energy of formation: -0.1214 eV per atom
# space-group type: F-43m, No. 216
# relative energy among the computed polymorphs: 116.2 meV per atom
# theoretical density: 8.79 g cm⁻³
data_NdDyCu4
_chemical_formula_sum 'Nd1 Dy1 Cu4'
_symmetry_space_group_name_H-M 'P 1'
_symmetry_Int_Tables_number 1
_symmetry_space_group_name_Hall 'P 1'
_cell_length_a 5.312
_cell_length_b 5.312
_cell_length_c 5.312
_cell_angle_alpha 60.00
_cell_angle_beta 60.00
_cell_angle_gamma 60.00
loop_
_atom_site_label
_atom_site_type_symbol
_atom_site_fract_x
_atom_site_fract_y
_atom_site_fract_z
Cu1 Cu 0.624 0.624 0.624
Cu2 Cu 0.624 0.127 0.624
Cu3 Cu 0.127 0.624 0.624
Cu4 Cu 0.624 0.624 0.127
Nd1 Nd 0.000 0.000 0.000
Dy1 Dy 0.250 0.250 0.250

# 2
# Nd2DyCu | Alexandria | PBE | relaxed
# energy of formation: -0.0313 eV per atom
# space-group type: P2_1/m, No. 11
# relative energy among the computed polymorphs: 8.1 meV per atom
# theoretical density: 7.52 g cm⁻³
data_Nd2DyCu
_chemical_formula_sum 'Nd4 Dy2 Cu2'
_symmetry_space_group_name_H-M 'P 1'
_symmetry_Int_Tables_number 1
_symmetry_space_group_name_Hall 'P 1'
_cell_length_a 4.982
_cell_length_b 6.373
_cell_length_c 7.778
_cell_angle_alpha 90.00
_cell_angle_beta 90.00
_cell_angle_gamma 113.01
loop_
_atom_site_label
_atom_site_type_symbol
_atom_site_fract_x
_atom_site_fract_y
_atom_site_fract_z
Dy1 Dy 0.044 0.088 0.750
Dy2 Dy 0.956 0.912 0.250
Cu1 Cu 0.798 0.599 0.750
Cu2 Cu 0.202 0.401 0.250
Nd1 Nd 0.355 0.711 0.530
Nd2 Nd 0.355 0.711 0.970
Nd3 Nd 0.645 0.289 0.030
Nd4 Nd 0.645 0.289 0.470

# 3
# NdDy3Cu2 | Alexandria | PBE | relaxed
# energy of formation: -0.1545 eV per atom
# space-group type: P4/mmm, No. 123
# theoretical density: 8.40 g cm⁻³
data_NdDy3Cu2
_chemical_formula_sum 'Nd1 Dy3 Cu2'
_symmetry_space_group_name_H-M 'P 1'
_symmetry_Int_Tables_number 1
_symmetry_space_group_name_Hall 'P 1'
_cell_length_a 3.500
_cell_length_b 3.500
_cell_length_c 12.239
_cell_angle_alpha 90.00
_cell_angle_beta 90.00
_cell_angle_gamma 90.00
loop_
_atom_site_label
_atom_site_type_symbol
_atom_site_fract_x
_atom_site_fract_y
_atom_site_fract_z
Dy1 Dy 0.000 0.000 0.000
Dy2 Dy 0.000 0.000 0.722
Dy3 Dy 0.000 0.000 0.278
Cu1 Cu 0.500 0.500 0.859
Cu2 Cu 0.500 0.500 0.141
Nd1 Nd 0.500 0.500 0.500

# 4
# NdDyCu | Alexandria | PBE | relaxed
# energy of formation: -0.1022 eV per atom
# space-group type: I4mm, No. 107
# relative energy among the computed polymorphs: 11.7 meV per atom
# theoretical density: 7.84 g cm⁻³
data_NdDyCu
_chemical_formula_sum 'Nd1 Dy1 Cu1'
_symmetry_space_group_name_H-M 'P 1'
_symmetry_Int_Tables_number 1
_symmetry_space_group_name_Hall 'P 1'
_cell_length_a 3.536
_cell_length_b 3.536
_cell_length_c 6.753
_cell_angle_alpha 105.18
_cell_angle_beta 105.18
_cell_angle_gamma 90.00
loop_
_atom_site_label
_atom_site_type_symbol
_atom_site_fract_x
_atom_site_fract_y
_atom_site_fract_z
Nd1 Nd 0.023 0.023 0.046
Dy1 Dy 0.300 0.300 0.601
Cu1 Cu 0.677 0.677 0.353

# 5
# Nd5DyCu6 | Alexandria | PBE | relaxed
# energy of formation: -0.1572 eV per atom
# space-group type: C2/m, No. 12
# theoretical density: 7.68 g cm⁻³
data_Nd5DyCu6
_chemical_formula_sum 'Nd5 Dy1 Cu6'
_symmetry_space_group_name_H-M 'P 1'
_symmetry_Int_Tables_number 1
_symmetry_space_group_name_Hall 'P 1'
_cell_length_a 5.070
_cell_length_b 7.100
_cell_length_c 8.766
_cell_angle_alpha 66.12
_cell_angle_beta 73.06
_cell_angle_gamma 90.00
loop_
_atom_site_label
_atom_site_type_symbol
_atom_site_fract_x
_atom_site_fract_y
_atom_site_fract_z
Nd1 Nd 0.334 0.334 0.332
Nd2 Nd 0.332 0.833 0.335
Nd3 Nd 0.666 0.666 0.668
Nd4 Nd 0.668 0.167 0.665
Nd5 Nd 0.000 0.500 0.000
Cu1 Cu 0.836 0.595 0.325
Cu2 Cu 0.500 0.234 0.000
Cu3 Cu 0.164 0.920 0.675
Cu4 Cu 0.500 0.766 0.000
Cu5 Cu 0.164 0.405 0.675
Cu6 Cu 0.836 0.080 0.325
Dy1 Dy 0.000 0.000 0.000

# 6
# NdDyCu | Alexandria | PBE | relaxed
# energy of formation: -0.1123 eV per atom
# space-group type: P2_1/m, No. 11
# relative energy among the computed polymorphs: 1.7 meV per atom
# theoretical density: 7.68 g cm⁻³
data_NdDyCu
_chemical_formula_sum 'Nd2 Dy2 Cu2'
_symmetry_space_group_name_H-M 'P 1'
_symmetry_Int_Tables_number 1
_symmetry_space_group_name_Hall 'P 1'
_cell_length_a 3.907
_cell_length_b 3.741
_cell_length_c 11.109
_cell_angle_alpha 99.74
_cell_angle_beta 90.00
_cell_angle_gamma 90.00
loop_
_atom_site_label
_atom_site_type_symbol
_atom_site_fract_x
_atom_site_fract_y
_atom_site_fract_z
Dy1 Dy 0.750 0.077 0.157
Dy2 Dy 0.250 0.923 0.843
Cu1 Cu 0.250 0.534 0.071
Cu2 Cu 0.750 0.466 0.929
Nd1 Nd 0.250 0.694 0.387
Nd2 Nd 0.750 0.306 0.613

# 7
# NdDy2Cu6 | Alexandria | PBE | relaxed
# energy of formation: -0.2411 eV per atom
# space-group type: P6/mmm, No. 191
# theoretical density: 8.31 g cm⁻³
data_NdDy2Cu6
_chemical_formula_sum 'Nd1 Dy2 Cu6'
_symmetry_space_group_name_H-M 'P 1'
_symmetry_Int_Tables_number 1
_symmetry_space_group_name_Hall 'P 1'
_cell_length_a 3.626
_cell_length_b 7.356
_cell_length_c 7.356
_cell_angle_alpha 120.00
_cell_angle_beta 90.00
_cell_angle_gamma 90.00
loop_
_atom_site_label
_atom_site_type_symbol
_atom_site_fract_x
_atom_site_fract_y
_atom_site_fract_z
Cu1 Cu 0.500 0.336 0.336
Cu2 Cu 0.500 0.664 0.000
Cu3 Cu 0.500 0.000 0.664
Cu4 Cu 0.500 0.000 0.336
Cu5 Cu 0.500 0.336 0.000
Cu6 Cu 0.500 0.664 0.664
Dy1 Dy 0.000 0.333 0.667
Dy2 Dy 0.000 0.667 0.333
Nd1 Nd 0.000 0.000 0.000

# 8
# Nd2DyCu | Alexandria | PBE | relaxed
# energy of formation: 0.2684 eV per atom
# space-group type: R-3m, No. 166
# relative energy among the computed polymorphs: 307.8 meV per atom
# theoretical density: 7.12 g cm⁻³
data_Nd2DyCu
_chemical_formula_sum 'Nd2 Dy1 Cu1'
_symmetry_space_group_name_H-M 'P 1'
_symmetry_Int_Tables_number 1
_symmetry_space_group_name_Hall 'P 1'
_cell_length_a 3.538
_cell_length_b 3.538
_cell_length_c 11.257
_cell_angle_alpha 80.96
_cell_angle_beta 80.96
_cell_angle_gamma 60.00
loop_
_atom_site_label
_atom_site_type_symbol
_atom_site_fract_x
_atom_site_fract_y
_atom_site_fract_z
Nd1 Nd 0.103 0.103 0.692
Nd2 Nd 0.897 0.897 0.308
Cu1 Cu 0.500 0.500 0.500
Dy1 Dy 0.000 0.000 0.000

# 9
# NdDyCu3 | Alexandria | PBE | relaxed
# energy of formation: -0.2240 eV per atom
# space-group type: Cmcm, No. 63
# theoretical density: 8.00 g cm⁻³
data_NdDyCu3
_chemical_formula_sum 'Nd2 Dy2 Cu6'
_symmetry_space_group_name_H-M 'P 1'
_symmetry_Int_Tables_number 1
_symmetry_space_group_name_Hall 'P 1'
_cell_length_a 3.743
_cell_length_b 4.316
_cell_length_c 12.916
_cell_angle_alpha 90.00
_cell_angle_beta 98.33
_cell_angle_gamma 90.00
loop_
_atom_site_label
_atom_site_type_symbol
_atom_site_fract_x
_atom_site_fract_y
_atom_site_fract_z
Nd1 Nd 0.928 0.750 0.856
Nd2 Nd 0.072 0.250 0.144
Dy1 Dy 0.205 0.750 0.409
Dy2 Dy 0.795 0.250 0.591
Cu1 Cu 0.674 0.250 0.348
Cu2 Cu 0.620 0.750 0.241
Cu3 Cu 0.524 0.750 0.048
Cu4 Cu 0.380 0.250 0.759
Cu5 Cu 0.476 0.250 0.952
Cu6 Cu 0.326 0.750 0.652

# 10
# Nd2DyCu | Alexandria | PBE | relaxed
# energy of formation: 0.0705 eV per atom
# space-group type: R3m, No. 160
# relative energy among the computed polymorphs: 109.9 meV per atom
# theoretical density: 7.22 g cm⁻³
data_Nd2DyCu
_chemical_formula_sum 'Nd2 Dy1 Cu1'
_symmetry_space_group_name_H-M 'P 1'
_symmetry_Int_Tables_number 1
_symmetry_space_group_name_Hall 'P 1'
_cell_length_a 3.695
_cell_length_b 3.695
_cell_length_c 10.227
_cell_angle_alpha 79.59
_cell_angle_beta 79.59
_cell_angle_gamma 60.00
loop_
_atom_site_label
_atom_site_type_symbol
_atom_site_fract_x
_atom_site_fract_y
_atom_site_fract_z
Dy1 Dy 0.500 0.500 0.501
Cu1 Cu 0.667 0.667 0.999
Nd1 Nd 0.070 0.070 0.791
Nd2 Nd 0.264 0.264 0.208

# 11
# NdDyCuNi | Alexandria | PBE | relaxed
# energy of formation: -0.2486 eV per atom
# space-group type: F-43m, No. 216
# relative energy among the computed polymorphs: 44.9 meV per atom
# theoretical density: 8.42 g cm⁻³
data_NdDyCuNi
_chemical_formula_sum 'Nd1 Dy1 Cu1 Ni1'
_symmetry_space_group_name_H-M 'P 1'
_symmetry_Int_Tables_number 1
_symmetry_space_group_name_Hall 'P 1'
_cell_length_a 4.927
_cell_length_b 4.927
_cell_length_c 4.927
_cell_angle_alpha 60.00
_cell_angle_beta 60.00
_cell_angle_gamma 60.00
loop_
_atom_site_label
_atom_site_type_symbol
_atom_site_fract_x
_atom_site_fract_y
_atom_site_fract_z
Dy1 Dy 0.000 0.000 0.000
Nd1 Nd 0.500 0.500 0.500
Cu1 Cu 0.250 0.250 0.250
Ni1 Ni 0.750 0.750 0.750

# 12
# NdDyCuNi | Alexandria | PBE | relaxed
# energy of formation: -0.2935 eV per atom
# space-group type: Amm2, No. 38
# relative energy among the computed polymorphs: 0.0 meV per atom
# theoretical density: 8.15 g cm⁻³
data_NdDyCuNi
_chemical_formula_sum 'Nd1 Dy1 Cu1 Ni1'
_symmetry_space_group_name_H-M 'P 1'
_symmetry_Int_Tables_number 1
_symmetry_space_group_name_Hall 'P 1'
_cell_length_a 3.787
_cell_length_b 4.438
_cell_length_c 5.533
_cell_angle_alpha 90.00
_cell_angle_beta 110.01
_cell_angle_gamma 90.00
loop_
_atom_site_label
_atom_site_type_symbol
_atom_site_fract_x
_atom_site_fract_y
_atom_site_fract_z
Dy1 Dy 0.863 0.500 0.726
Cu1 Cu 0.568 0.500 0.136
Nd1 Nd 0.141 0.000 0.282
Ni1 Ni 0.428 0.000 0.856

# 13
# NdDyCuOs | Alexandria | PBE | relaxed
# energy of formation: -0.1512 eV per atom
# space-group type: F-43m, No. 216
# theoretical density: 10.96 g cm⁻³
data_NdDyCuOs
_chemical_formula_sum 'Nd1 Dy1 Cu1 Os1'
_symmetry_space_group_name_H-M 'P 1'
_symmetry_Int_Tables_number 1
_symmetry_space_group_name_Hall 'P 1'
_cell_length_a 4.934
_cell_length_b 4.934
_cell_length_c 4.934
_cell_angle_alpha 60.00
_cell_angle_beta 60.00
_cell_angle_gamma 60.00
loop_
_atom_site_label
_atom_site_type_symbol
_atom_site_fract_x
_atom_site_fract_y
_atom_site_fract_z
Dy1 Dy 0.000 0.000 0.000
Cu1 Cu 0.250 0.250 0.250
Os1 Os 0.750 0.750 0.750
Nd1 Nd 0.500 0.500 0.500

# 14
# NdDyCuPb | Alexandria | PBE | relaxed
# energy of formation: -0.2954 eV per atom
# space-group type: F-43m, No. 216
# theoretical density: 9.17 g cm⁻³
data_NdDyCuPb
_chemical_formula_sum 'Nd1 Dy1 Cu1 Pb1'
_symmetry_space_group_name_H-M 'P 1'
_symmetry_Int_Tables_number 1
_symmetry_space_group_name_Hall 'P 1'
_cell_length_a 5.288
_cell_length_b 5.288
_cell_length_c 5.288
_cell_angle_alpha 60.00
_cell_angle_beta 60.00
_cell_angle_gamma 60.00
loop_
_atom_site_label
_atom_site_type_symbol
_atom_site_fract_x
_atom_site_fract_y
_atom_site_fract_z
Nd1 Nd 0.500 0.500 0.500
Cu1 Cu 0.250 0.250 0.250
Dy1 Dy 0.000 0.000 0.000
Pb1 Pb 0.750 0.750 0.750

# 15
# NdDyCuPt | Alexandria | PBE | relaxed
# energy of formation: -0.7377 eV per atom
# space-group type: Amm2, No. 38
# relative energy among the computed polymorphs: 0.0 meV per atom
# theoretical density: 10.15 g cm⁻³
data_NdDyCuPt
_chemical_formula_sum 'Nd1 Dy1 Cu1 Pt1'
_symmetry_space_group_name_H-M 'P 1'
_symmetry_Int_Tables_number 1
_symmetry_space_group_name_Hall 'P 1'
_cell_length_a 3.853
_cell_length_b 4.450
_cell_length_c 5.730
_cell_angle_alpha 90.00
_cell_angle_beta 109.65
_cell_angle_gamma 90.00
loop_
_atom_site_label
_atom_site_type_symbol
_atom_site_fract_x
_atom_site_fract_y
_atom_site_fract_z
Nd1 Nd 0.141 0.000 0.281
Pt1 Pt 0.421 0.000 0.841
Dy1 Dy 0.864 0.500 0.727
Cu1 Cu 0.575 0.500 0.150

# 16
# NdDyCuPt | Alexandria | PBE | relaxed
# energy of formation: -0.6875 eV per atom
# space-group type: F-43m, No. 216
# relative energy among the computed polymorphs: 50.2 meV per atom
# theoretical density: 10.54 g cm⁻³
data_NdDyCuPt
_chemical_formula_sum 'Nd1 Dy1 Cu1 Pt1'
_symmetry_space_group_name_H-M 'P 1'
_symmetry_Int_Tables_number 1
_symmetry_space_group_name_Hall 'P 1'
_cell_length_a 5.014
_cell_length_b 5.014
_cell_length_c 5.014
_cell_angle_alpha 60.00
_cell_angle_beta 60.00
_cell_angle_gamma 60.00
loop_
_atom_site_label
_atom_site_type_symbol
_atom_site_fract_x
_atom_site_fract_y
_atom_site_fract_z
Dy1 Dy 0.250 0.250 0.250
Cu1 Cu 0.000 0.000 0.000
Pt1 Pt 0.500 0.500 0.500
Nd1 Nd 0.750 0.750 0.750

# 17
# NdDy2CuS5 | Alexandria | PBE | relaxed
# space-group type: Cmc2_1, No. 36
# ΔE_f (raw): -1.68 eV per atom
# theoretical density: 5.95 g cm⁻³
data_NdDy2CuS5
_chemical_formula_sum 'Nd2 Dy4 Cu2 S10'
_symmetry_space_group_name_H-M 'P 1'
_symmetry_Int_Tables_number 1
_symmetry_space_group_name_Hall 'P 1'
_cell_length_a 3.825
_cell_length_b 9.328
_cell_length_c 11.078
_cell_angle_alpha 90.00
_cell_angle_beta 90.00
_cell_angle_gamma 101.83
loop_
_atom_site_label
_atom_site_type_symbol
_atom_site_fract_x
_atom_site_fract_y
_atom_site_fract_z
Cu1 Cu 0.437 0.873 0.452
Cu2 Cu 0.563 0.127 0.952
S1 S 0.639 0.279 0.505
S2 S 0.953 0.906 0.563
S3 S 0.496 0.992 0.780
S4 S 0.047 0.094 0.063
S5 S 0.698 0.395 0.195
S6 S 0.504 0.008 0.280
S7 S 0.361 0.721 0.005
S8 S 0.332 0.663 0.329
S9 S 0.302 0.605 0.695
S10 S 0.668 0.337 0.829
Dy1 Dy 0.110 0.219 0.309
Dy2 Dy 0.089 0.179 0.683
Dy3 Dy 0.911 0.821 0.183
Dy4 Dy 0.890 0.781 0.809
Nd1 Nd 0.197 0.394 0.008
Nd2 Nd 0.803 0.606 0.508

# 18
# NdDyCu2Se4 | Alexandria | PBE | relaxed
# space-group type: I222, No. 23
# ΔE_f (raw): -1.05 eV per atom
# theoretical density: 6.52 g cm⁻³
data_NdDyCu2Se4
_chemical_formula_sum 'Nd1 Dy1 Cu2 Se4'
_symmetry_space_group_name_H-M 'P 1'
_symmetry_Int_Tables_number 1
_symmetry_space_group_name_Hall 'P 1'
_cell_length_a 6.830
_cell_length_b 6.316
_cell_length_c 6.316
_cell_angle_alpha 67.08
_cell_angle_beta 57.27
_cell_angle_gamma 57.27
loop_
_atom_site_label
_atom_site_type_symbol
_atom_site_fract_x
_atom_site_fract_y
_atom_site_fract_z
Se1 Se 0.941 0.534 0.079
Se2 Se 0.059 0.921 0.466
Se3 Se 0.445 0.079 0.534
Se4 Se 0.555 0.466 0.921
Cu1 Cu 0.156 0.344 0.344
Cu2 Cu 0.844 0.656 0.656
Nd1 Nd 0.000 0.000 0.000
Dy1 Dy 0.500 0.500 0.500

# 19
# NdDyCuSi | Alexandria | PBE | relaxed
# space-group type: F-43m, No. 216
# ΔE_f (raw): -0.39 eV per atom
# theoretical density: 7.37 g cm⁻³
data_NdDyCuSi
_chemical_formula_sum 'Nd1 Dy1 Cu1 Si1'
_symmetry_space_group_name_H-M 'P 1'
_symmetry_Int_Tables_number 1
_symmetry_space_group_name_Hall 'P 1'
_cell_length_a 5.025
_cell_length_b 5.025
_cell_length_c 5.025
_cell_angle_alpha 60.00
_cell_angle_beta 60.00
_cell_angle_gamma 60.00
loop_
_atom_site_label
_atom_site_type_symbol
_atom_site_fract_x
_atom_site_fract_y
_atom_site_fract_z
Nd1 Nd 0.000 0.000 0.000
Dy1 Dy 0.500 0.500 0.500
Si1 Si 0.750 0.750 0.750
Cu1 Cu 0.250 0.250 0.250

# 20
# NdDy2Cu2Si2 | Alexandria | PBE | relaxed
# space-group type: R-3m, No. 166
# ΔE_f (raw): -0.48 eV per atom
# theoretical density: 7.36 g cm⁻³
data_NdDy2Cu2Si2
_chemical_formula_sum 'Nd1 Dy2 Cu2 Si2'
_symmetry_space_group_name_H-M 'P 1'
_symmetry_Int_Tables_number 1
_symmetry_space_group_name_Hall 'P 1'
_cell_length_a 4.232
_cell_length_b 4.232
_cell_length_c 9.803
_cell_angle_alpha 77.53
_cell_angle_beta 77.53
_cell_angle_gamma 60.00
loop_
_atom_site_label
_atom_site_type_symbol
_atom_site_fract_x
_atom_site_fract_y
_atom_site_fract_z
Cu1 Cu 0.596 0.596 0.211
Cu2 Cu 0.404 0.404 0.789
Si1 Si 0.739 0.739 0.782
Si2 Si 0.261 0.261 0.218
Dy1 Dy 0.127 0.127 0.618
Dy2 Dy 0.873 0.873 0.382
Nd1 Nd 0.000 0.000 0.000

Short version: magnetic moment = 0.00; 0.00; 0.00; 0.00; 0.00; 0.00; 0.00; 0.01; 0.00; 0.00; 0.00; 0.00; 0.00; 0.21; 0.00; 0.00; 0.00; 0.00; 0.00; 0.00 Bohr magnetons per cell, in the order given.